(1)
Computed, not measured: a relaxed structure of Cr2AuBr at the PBE level of DFT.

Calculated values
* E_form (uncorrected): 314 meV/atom
* relative energy among the computed polymorphs: 0.074 eV per atom
* total magnetization: 0.15 μB per formula unit
* mass density: 8.4 g/cm3

a b c (Å): 9.1503 9.1503 9.1503
angles (deg): 19.58 19.58 19.58
With the nearest neighbours (Å) after each atom.
Fractional positions:
Cr (0.2625, 0.2625, 0.2625)  3 Cr 2.46
Cr (0.9916, 0.9916, 0.9916)  3 Cr 2.46, 3 Br 2.60
Au (0.5177, 0.5177, 0.5177)  3 Cr 2.77
Br (0.7282, 0.7282, 0.7282)  3 Cr 2.60

(2)
Computed, not measured: a relaxed structure of CrAu2Br at the PBE level of DFT.

Calculated values
* E_form (uncorrected): 235 meV/atom
* relative energy among the computed polymorphs: 0.174 eV per atom
* total magnetization: 4.53 μB per formula unit
* mass density: 10.2 g/cm3

a b c (Å): 3.8497 3.8497 5.7516
angles (deg): 90.00 90.00 90.00
With the nearest neighbours (Å) after each atom.
Fractional positions:
Cr (0.0000, 0.5000, 0.5000)  4 Br 2.72
Br (0.5000, 0.0000, 0.5000)  4 Cr 2.72
Au (0.5000, 0.5000, 0.0000)  4 Au 2.72
Au (0.0000, 0.0000, 0.0000)  4 Au 2.72

(3)
Computed, not measured: a relaxed structure of CrAu2Br at the PBE level of DFT.

Calculated values
* E_form (uncorrected): 391 meV/atom
* relative energy among the computed polymorphs: 0.330 eV per atom
* total magnetization: 4.44 μB per formula unit
* mass density: 11.0 g/cm3

a b c (Å): 4.8228 4.8228 4.8228
angles (deg): 120.04 120.04 89.93
With the nearest neighbours (Å) after each atom.
Fractional positions:
Au (0.2500, 0.7500, 0.5000)  4 Br 2.95, 4 Au 2.95
Au (0.0000, 0.0000, 0.0000)  4 Cr 2.95, 4 Au 2.95
Br (0.5000, 0.5000, 0.0000)  4 Au 2.95, 4 Cr 2.95
Cr (0.7500, 0.2500, 0.5000)  4 Au 2.95, 4 Br 2.95

(4)
Computed, not measured: a relaxed structure of Cr2AuBr at the PBE level of DFT.

Calculated values
* E_form (uncorrected): 818 meV/atom
* relative energy among the computed polymorphs: 0.578 eV per atom
* total magnetization: 9.50 μB per formula unit
* mass density: 7.7 g/cm3

a b c (Å): 4.8780 4.8780 4.8780
angles (deg): 60.00 60.00 60.00
With the nearest neighbours (Å) after each atom.
Fractional positions:
Br (0.7500, 0.7500, 0.7500)  4 Au 2.99, 4 Cr 2.99
Cr (0.2500, 0.2500, 0.2500)  4 Cr 2.99, 4 Au 2.99
Cr (0.0000, 0.0000, 0.0000)  4 Br 2.99, 4 Cr 2.99
Au (0.5000, 0.5000, 0.5000)  4 Cr 2.99, 4 Br 2.99

(5)
Computed, not measured: a relaxed structure of Cr2AuBr at the PBE level of DFT.

Calculated values
* E_form (uncorrected): 354 meV/atom
* relative energy among the computed polymorphs: 0.114 eV per atom
* total magnetization: 8.87 μB per formula unit
* mass density: 8.1 g/cm3

a b c (Å): 3.3466 3.3466 6.9808
angles (deg): 90.00 90.00 90.00
With the nearest neighbours (Å) after each atom.
Fractional positions:
Cr (0.0000, 0.0000, 0.4735)  4 Au 2.83, 4 Br 3.05, 1 Cr 3.12
Cr (0.0000, 0.0000, 0.0265)  4 Au 2.83, 4 Br 3.05, 1 Cr 3.12
Au (0.5000, 0.5000, 0.2500)  8 Cr 2.83
Br (0.5000, 0.5000, 0.7500)  8 Cr 3.05, 4 Br 3.35

(6)
Computed, not measured: a relaxed structure of Cr2AuBr at the PBE level of DFT.

Calculated values
* E_form (uncorrected): 383 meV/atom
* relative energy among the computed polymorphs: 0.144 eV per atom
* total magnetization: 8.79 μB per formula unit
* mass density: 7.1 g/cm3

a b c (Å): 6.9124 6.9124 3.5022
angles (deg): 90.01 90.01 32.30
With the nearest neighbours (Å) after each atom.
Fractional positions:
Cr (0.1871, 0.1871, 0.3753)  2 Au 2.73, 4 Br 2.92-2.93
Cr (0.9840, 0.9840, 0.8753)  1 Br 2.60, 4 Au 2.71
Au (0.5409, 0.5409, 0.3753)  6 Cr 2.71-2.73
Br (0.7880, 0.7880, 0.8741)  1 Cr 2.60

The calculation returns the following DOS at the Fermi energy values, one per record and in order: 3.8, 2.2, 3.6, 2.7, 3.4, 4.3 states/eV per cell.